1.
Below is crystalline AgTeRhN2 at its relaxed geometry, with properties calculated at the PBE-GGA level.

Structure (extended XYZ):
```
5
Lattice="3.962 0.000 0.000 0.000 3.962 0.000 0.000 0.000 6.455" Properties=species:S:1:pos:R:3 pbc="T T T"
Te 0.000 0.000 3.228
Rh 1.981 1.981 3.228
Ag 0.000 0.000 0.000
N 0.000 1.981 0.000
N 1.981 0.000 0.000
```

Results
N(E_F): 4.636 states/eV/cell
relative energy among the computed polymorphs: 437.6 kJ/mol of formula units
energy relative to the elements, uncorrected: 1.92 eV per atom
energy: -4.077 eV per atom
SG: P4/mmm (123)

2.
Below is crystalline ZrAgRhN2 at its relaxed geometry, with properties calculated at the PBE-GGA level.

Structure (extended XYZ):
```
5
Lattice="-3.044 2.881 -0.440 -2.324 -1.812 4.211 2.206 2.693 2.376" Properties=species:S:1:pos:R:3 pbc="T T T"
Rh -1.162 -0.906 2.105
Zr 0.000 0.000 0.000
Ag -1.581 1.881 3.073
N 1.103 1.346 1.188
N -1.522 1.441 -0.220
```

Results
N(E_F): 4.217 states/eV/cell
energy relative to the elements, uncorrected: 0.97 eV per atom
energy: -6.107 eV per atom
SG: P4/mmm (123)

3.
Below is crystalline Ag2RuN at its relaxed geometry, with properties calculated at the PBE-GGA level.

Structure (extended XYZ):
```
8
Lattice="8.610 0.000 0.000 0.000 8.610 0.000 4.305 4.305 1.863" Properties=species:S:1:pos:R:3 pbc="T T T"
Ru 0.000 0.000 0.000
Ru 8.610 4.305 0.931
Ag 5.413 2.152 0.466
Ag 3.196 6.457 0.466
Ag 6.457 7.501 1.397
Ag 10.762 9.718 1.397
N 4.305 4.305 0.000
N 4.305 8.610 0.931
```

Results
N(E_F): 4.679 states/eV/cell
energy relative to the elements, uncorrected: 0.74 eV per atom
energy: -5.081 eV per atom
SG: I-42d (122)

4.
Below is crystalline Ag3RuN at its relaxed geometry, with properties calculated at the PBE-GGA level.

Structure (extended XYZ):
```
5
Lattice="-3.450 0.908 -2.403 2.117 -1.273 -3.520 -1.454 -4.007 0.574" Properties=species:S:1:pos:R:3 pbc="T T T"
Ru -1.393 -2.186 -2.675
Ag 1.059 -0.637 -1.760
Ag -0.727 -2.003 0.287
Ag -1.725 0.454 -1.201
N 0.000 0.000 0.000
```

Results
N(E_F): 3.013 states/eV/cell
relative energy among the computed polymorphs: 0.0 kJ/mol of formula units
energy relative to the elements, uncorrected: 1.10 eV per atom
energy: -4.126 eV per atom
SG: Pm-3m (221)

5.
Below is crystalline AgRu3N at its relaxed geometry, with properties calculated at the PBE-GGA level.

Structure (extended XYZ):
```
5
Lattice="-1.379 -4.438 -1.648 3.180 0.403 -3.747 3.507 -2.110 2.749" Properties=species:S:1:pos:R:3 pbc="T T T"
Ru 1.590 0.202 -1.873
Ru 1.754 -1.055 1.375
Ru -0.689 -2.219 -0.824
Ag 0.000 0.000 0.000
N 2.654 -3.072 -1.323
```

Results
N(E_F): 8.939 states/eV/cell
relative energy among the computed polymorphs: 1460.2 kJ/mol of formula units
energy relative to the elements, uncorrected: 3.44 eV per atom
energy: -4.364 eV per atom
SG: Pm-3m (221)

6.
Below is crystalline AgRuN3 at its relaxed geometry, with properties calculated at the PBE-GGA level.

Structure (extended XYZ):
```
5
Lattice="-3.795 -0.813 -0.024 0.771 -3.558 -1.345 0.259 -1.320 3.640" Properties=species:S:1:pos:R:3 pbc="T T T"
Ru 0.000 0.000 0.000
Ag -1.382 -2.845 1.135
N 0.385 -1.779 -0.673
N 0.130 -0.660 1.820
N -1.897 -0.406 -0.012
```

Results
N(E_F): 3.914 states/eV/cell
energy relative to the elements, uncorrected: 1.42 eV per atom
energy: -6.005 eV per atom
SG: Pm-3m (221)

7.
Below is crystalline AgRu3N at its relaxed geometry, with properties calculated at the PBE-GGA level.

Structure (extended XYZ):
```
5
Lattice="-0.660 3.975 0.580 -2.140 -0.846 3.358 3.399 0.240 2.227" Properties=species:S:1:pos:R:3 pbc="T T T"
Ru -1.070 -0.423 1.679
Ru 1.700 0.120 1.113
Ru -0.330 1.987 0.290
Ag 0.300 1.684 3.082
N 0.000 0.000 0.000
```

Results
N(E_F): 4.231 states/eV/cell
relative energy among the computed polymorphs: 0.0 kJ/mol of formula units
energy relative to the elements, uncorrected: 0.41 eV per atom
energy: -7.391 eV per atom
SG: Pm-3m (221)

8.
Below is crystalline AgRuN3 at its relaxed geometry, with properties calculated at the PBE-GGA level.

Structure (extended XYZ):
```
5
Lattice="-1.956 -2.505 2.369 1.226 -3.051 -2.214 3.222 -0.360 2.280" Properties=species:S:1:pos:R:3 pbc="T T T"
Ru 1.246 -2.958 1.218
Ag 0.000 0.000 0.000
N 0.613 -1.526 -1.107
N 1.611 -0.180 1.140
N -0.978 -1.252 1.185
```

Results
N(E_F): 6.123 states/eV/cell
energy relative to the elements, uncorrected: 2.85 eV per atom
energy: -4.573 eV per atom
SG: Pm-3m (221)

9.
Below is crystalline AgRu2N at its relaxed geometry, with properties calculated at the PBE-GGA level.

Structure (extended XYZ):
```
8
Lattice="-4.671 -4.171 0.583 2.995 -2.678 4.839 -2.197 -1.648 4.535" Properties=species:S:1:pos:R:3 pbc="T T T"
Ru -2.564 -2.880 2.037
Ru 0.208 -3.080 4.297
Ru -1.937 -4.108 5.984
Ru -3.455 -6.925 7.596
Ag 0.000 0.000 0.000
Ag -3.853 -4.622 3.914
N -0.838 -3.425 2.711
N -0.020 -3.875 6.043
```

Results
N(E_F): 7.924 states/eV/cell
energy relative to the elements, uncorrected: 0.52 eV per atom
energy: -6.908 eV per atom
SG: I-42d (122)

10.
Below is crystalline Ag3RuN at its relaxed geometry, with properties calculated at the PBE-GGA level.

Structure (extended XYZ):
```
5
Lattice="-0.579 4.063 2.855 -2.936 2.038 -3.496 -4.005 -2.082 2.150" Properties=species:S:1:pos:R:3 pbc="T T T"
Ru 0.000 0.000 0.000
Ag -1.468 1.019 -1.748
Ag -2.003 -1.041 1.075
Ag -0.290 2.032 1.428
N -3.760 2.010 0.755
```

Results
N(E_F): 14.274 states/eV/cell
relative energy among the computed polymorphs: 704.9 kJ/mol of formula units
energy relative to the elements, uncorrected: 2.57 eV per atom
energy: -2.665 eV per atom
SG: Pm-3m (221)

11.
Below is crystalline AgRuS2N at its relaxed geometry, with properties calculated at the PBE-GGA level.

Structure (extended XYZ):
```
5
Lattice="4.861 0.000 0.000 0.000 4.861 0.000 0.000 0.000 3.644" Properties=species:S:1:pos:R:3 pbc="T T T"
Ru 0.000 0.000 0.000
S 0.000 2.430 0.000
S 2.430 0.000 0.000
Ag 2.430 2.430 1.822
N 0.000 0.000 1.822
```

Results
N(E_F): 5.163 states/eV/cell
relative energy among the computed polymorphs: 0.0 kJ/mol of formula units
energy relative to the elements, uncorrected: 0.52 eV per atom
energy: -5.218 eV per atom
SG: P4/mmm (123)

12.
Below is crystalline AgRuS2N at its relaxed geometry, with properties calculated at the PBE-GGA level.

Structure (extended XYZ):
```
5
Lattice="-2.092 -1.649 4.121 4.425 -1.138 1.791 0.282 3.567 1.570" Properties=species:S:1:pos:R:3 pbc="T T T"
Ru 1.307 0.390 3.741
S 2.212 -0.569 0.895
S -1.046 -0.824 2.061
Ag 0.000 0.000 0.000
N 0.141 1.784 0.785
```

Results
N(E_F): 5.233 states/eV/cell
relative energy among the computed polymorphs: 603.0 kJ/mol of formula units
energy relative to the elements, uncorrected: 1.77 eV per atom
energy: -3.968 eV per atom
SG: P4/mmm (123)